CrIrOs2 | PBE | optimized geometry

a b c (Å): 2.7082 6.1052 7.0012
angles (deg): 90.00 90.00 102.81
Closest atoms and distances in Å follow each position.
Atoms (fractional coordinates):
Cr: 0.9538 0.9077 0.2500  8 Os 2.61-2.65, 2 Ir 2.63, 2 Cr 2.71
Cr: 0.0462 0.0923 0.7500  8 Os 2.61-2.65, 2 Ir 2.63, 2 Cr 2.71
Ir: 0.2640 0.5281 0.2500  2 Cr 2.63, 6 Os 2.67-2.69, 2 Ir 2.71
Ir: 0.7360 0.4719 0.7500  2 Cr 2.63, 6 Os 2.67-2.69, 2 Ir 2.71
Os: 0.3955 0.7911 0.9408  4 Cr 2.61-2.65, 4 Os 2.62-2.71, 3 Ir 2.67-2.69
Os: 0.6045 0.2089 0.0592  4 Cr 2.61-2.65, 4 Os 2.62-2.71, 3 Ir 2.67-2.69
Os: 0.6045 0.2089 0.4408  4 Cr 2.61-2.65, 4 Os 2.62-2.71, 3 Ir 2.67-2.69
Os: 0.3955 0.7911 0.5592  4 Cr 2.61-2.65, 4 Os 2.62-2.71, 3 Ir 2.67-2.69

- ΔE_f: 85 meV/atom
- Theoretical density: 18.4 g/cm³
- Space-group type: Cmcm
- Fermi-level density of states: 1.035 states/eV/atom